Record 1
# BaTm, relaxed, DFT PBE-GGA
# - Calculated density: 4.32 g/cm³
# - Raw total energy: -1.60 eV per atom
data_BaTm
_chemical_formula_sum 'Ba4 Tm4'
_space_group_name_H-M_alt 'F -4 3 m'
_space_group_IT_number 216
_space_group_name_Hall 'F -4 2 3'
_cell_length_a 7.7776
_cell_length_b 7.7776
_cell_length_c 7.7776
_cell_angle_alpha 90.00
_cell_angle_beta 90.00
_cell_angle_gamma 90.00
loop_
_atom_site_label
_atom_site_fract_x
_atom_site_fract_y
_atom_site_fract_z
_atom_site_occupancy
Ba1 0.0000 0.0000 0.0000 1
Tm1 0.2500 0.2500 0.7500 1



Record 2
# BaTmU, relaxed, DFT PBE-GGA
# - Calculated density: 7.04 g/cm³
# - Raw total energy: -4.40 eV per atom
data_BaTmU
_chemical_formula_sum 'Ba4 Tm4 U4'
_space_group_name_H-M_alt 'F -4 3 m'
_space_group_IT_number 216
_space_group_name_Hall 'F -4 2 3'
_cell_length_a 8.0085
_cell_length_b 8.0085
_cell_length_c 8.0085
_cell_angle_alpha 90.00
_cell_angle_beta 90.00
_cell_angle_gamma 90.00
loop_
_atom_site_label
_atom_site_fract_x
_atom_site_fract_y
_atom_site_fract_z
_atom_site_occupancy
Ba1 0.0000 0.0000 0.0000 1
Tm1 0.2500 0.2500 0.2500 1
U1 0.0000 0.0000 0.5000 1



Record 3
# BaTmW, relaxed, DFT PBE-GGA
# - Calculated density: 8.57 g/cm³
# - Raw total energy: -4.42 eV per atom
data_BaTmW
_chemical_formula_sum 'Ba4 Tm4 W4'
_space_group_name_H-M_alt 'F -4 3 m'
_space_group_IT_number 216
_space_group_name_Hall 'F -4 2 3'
_cell_length_a 7.2408
_cell_length_b 7.2408
_cell_length_c 7.2408
_cell_angle_alpha 90.00
_cell_angle_beta 90.00
_cell_angle_gamma 90.00
loop_
_atom_site_label
_atom_site_fract_x
_atom_site_fract_y
_atom_site_fract_z
_atom_site_occupancy
Ba1 0.0000 0.0000 0.0000 1
Tm1 0.2500 0.2500 0.7500 1
W1 0.2500 0.2500 0.2500 1



no.,total magnetic moment (μB/cell),energy above the most stable polymorph in this dataset (kJ/mol of atoms)
1,0.0,120.8
2,15.4,0.0
3,11.9,30.0